# 1
Here is an optimized crystal structure of CaHRh from the Alexandria database. Energies are from PBE.

The structure in CIF format:
```
data_CaHRh
_chemical_formula_sum 'Ca2 H2 Rh2'
_symmetry_space_group_name_H-M 'P 1'
_symmetry_Int_Tables_number 1
_cell_length_a 6.652
_cell_length_b 5.006
_cell_length_c 6.094
_cell_angle_alpha 34.79
_cell_angle_beta 56.91
_cell_angle_gamma 48.36
loop_
_symmetry_equiv_pos_as_xyz
'x,y,z'
loop_
_atom_site_label
_atom_site_fract_x
_atom_site_fract_y
_atom_site_fract_z
H1 0.393 0.935 0.288
Rh1 0.950 0.434 0.788
Ca1 0.910 0.457 0.288
H2 0.679 0.434 0.788
Rh2 0.398 0.435 0.788
Ca2 0.434 0.412 0.288
```

Computed properties:
The calculation puts the final energy at -4.71 eV per atom. As for the energy relative to the lowest polymorph listed for this composition: 0.00 kcal/mol of atoms. The space-group type is Amm2. As for the density of states at the Fermi level: 0.28 states/eV per atom.

---

# 2
Here is an optimized crystal structure of CaH2Rh2 from the Alexandria database. Energies are from PBE.

The structure in CIF format:
```
data_CaH2Rh2
_chemical_formula_sum 'Ca1 H2 Rh2'
_symmetry_space_group_name_H-M 'P 1'
_symmetry_Int_Tables_number 1
_cell_length_a 3.697
_cell_length_b 3.697
_cell_length_c 5.458
_cell_angle_alpha 70.21
_cell_angle_beta 70.21
_cell_angle_gamma 90.00
loop_
_symmetry_equiv_pos_as_xyz
'x,y,z'
loop_
_atom_site_label
_atom_site_fract_x
_atom_site_fract_y
_atom_site_fract_z
H1 0.750 0.250 0.500
Ca1 0.000 0.000 0.000
Rh1 0.294 0.294 0.412
Rh2 0.706 0.706 0.588
H2 0.250 0.750 0.500
```

Computed properties:
The calculation puts the final energy at -4.91 eV per atom. The space-group type is I4/mmm. As for the density of states at the Fermi level: 0.45 states/eV per atom.

---

# 3
Here is an optimized crystal structure of Ca3HRh2 from the Alexandria database. Energies are from PBE.

The structure in CIF format:
```
data_Ca3HRh2
_chemical_formula_sum 'Ca6 H2 Rh4'
_symmetry_space_group_name_H-M 'P 1'
_symmetry_Int_Tables_number 1
_cell_length_a 5.985
_cell_length_b 5.985
_cell_length_c 7.042
_cell_angle_alpha 79.41
_cell_angle_beta 79.41
_cell_angle_gamma 82.85
loop_
_symmetry_equiv_pos_as_xyz
'x,y,z'
loop_
_atom_site_label
_atom_site_fract_x
_atom_site_fract_y
_atom_site_fract_z
Ca1 0.899 0.766 0.967
Rh1 0.582 0.117 0.123
Rh2 0.418 0.883 0.877
Ca2 0.101 0.234 0.033
Ca3 0.234 0.101 0.533
Ca4 0.397 0.603 0.250
H1 0.287 0.713 0.750
Rh3 0.883 0.418 0.377
Rh4 0.117 0.582 0.623
H2 0.713 0.287 0.250
Ca5 0.766 0.899 0.467
Ca6 0.603 0.397 0.750
```

Computed properties:
The calculation puts the final energy at -4.45 eV per atom. The space-group type is C2/c. As for the density of states at the Fermi level: 0.29 states/eV per atom.

---

# 4
Here is an optimized crystal structure of CaH3Rh from the Alexandria database. Energies are from PBE.

The structure in CIF format:
```
data_CaH3Rh
_chemical_formula_sum 'Ca4 H12 Rh4'
_symmetry_space_group_name_H-M 'P 1'
_symmetry_Int_Tables_number 1
_cell_length_a 16.826
_cell_length_b 5.077
_cell_length_c 6.564
_cell_angle_alpha 90.00
_cell_angle_beta 158.97
_cell_angle_gamma 90.00
loop_
_symmetry_equiv_pos_as_xyz
'x,y,z'
loop_
_atom_site_label
_atom_site_fract_x
_atom_site_fract_y
_atom_site_fract_z
H1 0.207 0.062 0.707
Ca1 0.100 0.250 0.100
H2 0.433 0.105 0.933
H3 0.837 0.250 0.838
Ca2 0.900 0.750 0.900
H4 0.933 0.395 0.433
Rh1 0.919 0.746 0.419
Rh2 0.081 0.254 0.581
H5 0.067 0.605 0.567
H6 0.567 0.895 0.067
H7 0.793 0.938 0.293
H8 0.337 0.250 0.338
Ca3 0.600 0.250 0.600
H9 0.163 0.750 0.162
Ca4 0.400 0.750 0.400
Rh3 0.419 0.754 0.919
H10 0.293 0.562 0.793
H11 0.663 0.750 0.662
Rh4 0.581 0.246 0.081
H12 0.707 0.438 0.207
```

Computed properties:
The calculation puts the final energy at -4.33 eV per atom. The space-group type is Cmce. As for the density of states at the Fermi level: 0.18 states/eV per atom.

---

# 5
Here is an optimized crystal structure of CaH3Rh from the Alexandria database. Energies are from PBE.

The structure in CIF format:
```
data_CaH3Rh
_chemical_formula_sum 'Ca4 H12 Rh4'
_symmetry_space_group_name_H-M 'P 1'
_symmetry_Int_Tables_number 1
_cell_length_a 5.435
_cell_length_b 6.095
_cell_length_c 6.216
_cell_angle_alpha 90.00
_cell_angle_beta 90.00
_cell_angle_gamma 90.00
loop_
_symmetry_equiv_pos_as_xyz
'x,y,z'
loop_
_atom_site_label
_atom_site_fract_x
_atom_site_fract_y
_atom_site_fract_z
H1 0.420 0.042 0.375
Rh1 0.479 0.750 0.440
Rh2 0.021 0.250 0.940
H2 0.246 0.250 0.735
Rh3 0.979 0.750 0.060
H3 0.420 0.458 0.375
Ca1 0.500 0.000 0.000
H4 0.580 0.542 0.625
H5 0.080 0.542 0.875
H6 0.746 0.250 0.765
H7 0.254 0.750 0.235
Ca2 0.500 0.500 0.000
Rh4 0.521 0.250 0.560
H8 0.754 0.750 0.265
H9 0.920 0.042 0.125
H10 0.080 0.958 0.875
H11 0.580 0.958 0.625
H12 0.920 0.458 0.125
Ca3 0.000 0.000 0.500
Ca4 0.000 0.500 0.500
```

Computed properties:
The calculation puts the final energy at -4.25 eV per atom. The space-group type is Pnma. As for the density of states at the Fermi level: 0.00 states/eV per atom.

---

# 6
Here is an optimized crystal structure of CaH3Rh from the Alexandria database. Energies are from PBE.

The structure in CIF format:
```
data_CaH3Rh
_chemical_formula_sum 'Ca1 H3 Rh1'
_symmetry_space_group_name_H-M 'P 1'
_symmetry_Int_Tables_number 1
_cell_length_a 3.023
_cell_length_b 5.428
_cell_length_c 5.428
_cell_angle_alpha 135.21
_cell_angle_beta 90.00
_cell_angle_gamma 90.00
loop_
_symmetry_equiv_pos_as_xyz
'x,y,z'
loop_
_atom_site_label
_atom_site_fract_x
_atom_site_fract_y
_atom_site_fract_z
Ca1 0.500 0.112 0.888
Rh1 0.000 0.429 0.571
H1 0.000 0.262 0.738
H2 0.500 0.184 0.358
H3 0.500 0.642 0.816
```

Computed properties:
The calculation puts the final energy at -4.02 eV per atom. The space-group type is Amm2. As for the density of states at the Fermi level: 0.52 states/eV per atom.

---

# 7
Here is an optimized crystal structure of CaH2Rh from the Alexandria database. Energies are from PBE.

The structure in CIF format:
```
data_CaH2Rh
_chemical_formula_sum 'Ca4 H8 Rh4'
_symmetry_space_group_name_H-M 'P 1'
_symmetry_Int_Tables_number 1
_cell_length_a 4.409
_cell_length_b 4.622
_cell_length_c 8.881
_cell_angle_alpha 90.53
_cell_angle_beta 90.00
_cell_angle_gamma 90.00
loop_
_symmetry_equiv_pos_as_xyz
'x,y,z'
loop_
_atom_site_label
_atom_site_fract_x
_atom_site_fract_y
_atom_site_fract_z
H1 0.810 0.991 0.921
Rh1 0.226 0.969 0.876
Ca1 0.254 0.994 0.374
Rh2 0.774 0.469 0.376
Ca2 0.746 0.494 0.874
Rh3 0.774 0.031 0.124
H2 0.753 0.080 0.328
H3 0.190 0.009 0.079
H4 0.810 0.509 0.579
H5 0.247 0.580 0.828
Rh4 0.226 0.531 0.624
H6 0.753 0.420 0.172
H7 0.247 0.920 0.672
H8 0.190 0.491 0.421
Ca3 0.746 0.006 0.626
Ca4 0.254 0.506 0.126
```

Computed properties:
The calculation puts the final energy at -4.39 eV per atom. As for the energy relative to the lowest polymorph listed for this composition: 4.48 kcal/mol of atoms. The space-group type is P2/c. As for the density of states at the Fermi level: 0.19 states/eV per atom.

---

# 8
Here is an optimized crystal structure of Ca3H6Rh from the Alexandria database. Energies are from PBE.

The structure in CIF format:
```
data_Ca3H6Rh
_chemical_formula_sum 'Ca6 H12 Rh2'
_symmetry_space_group_name_H-M 'P 1'
_symmetry_Int_Tables_number 1
_cell_length_a 6.386
_cell_length_b 6.386
_cell_length_c 6.386
_cell_angle_alpha 91.96
_cell_angle_beta 91.96
_cell_angle_gamma 91.96
loop_
_symmetry_equiv_pos_as_xyz
'x,y,z'
loop_
_atom_site_label
_atom_site_fract_x
_atom_site_fract_y
_atom_site_fract_z
Ca1 0.061 0.252 0.549
Ca2 0.451 0.939 0.748
H1 0.229 0.539 0.417
Rh1 0.500 0.500 0.500
H2 0.735 0.079 0.941
H3 0.771 0.461 0.583
Ca3 0.252 0.549 0.061
H4 0.583 0.771 0.461
H5 0.461 0.583 0.771
H6 0.417 0.229 0.539
H7 0.941 0.735 0.079
Ca4 0.939 0.748 0.451
Ca5 0.549 0.061 0.252
H8 0.539 0.417 0.229
H9 0.059 0.265 0.921
Ca6 0.748 0.451 0.939
Rh2 0.000 0.000 0.000
H10 0.921 0.059 0.265
H11 0.079 0.941 0.735
H12 0.265 0.921 0.059
```

Computed properties:
The calculation puts the final energy at -3.70 eV per atom. The space-group type is R-3. As for the density of states at the Fermi level: 0.44 states/eV per atom.